# PBE Pm6GaSn3, relaxed
# ΔH_f (0 K) (meV/atom): -514
# Raw total energy (eV per cell): -97.35
# D(E_F) (states/eV/cell): 18.25
# Symmetry: P2_1/m, No. 11
data_Pm6GaSn3
_chemical_formula_sum 'Pm12 Ga2 Sn6'
_space_group_name_H-M_alt 'P 1'
_space_group_IT_number 1
_space_group_name_Hall 'P 1'
_cell_length_a 4.5344
_cell_length_b 11.0602
_cell_length_c 13.5262
_cell_angle_alpha 112.06
_cell_angle_beta 90.00
_cell_angle_gamma 90.00
loop_
_atom_site_label
_atom_site_type_symbol
_atom_site_fract_x
_atom_site_fract_y
_atom_site_fract_z
Pm1 Pm 0.7500 0.4754 0.6376
Pm2 Pm 0.2500 0.5246 0.3624
Pm3 Pm 0.7500 0.8386 0.1145
Pm4 Pm 0.2500 0.1614 0.8855
Pm5 Pm 0.7500 0.4227 0.1000
Pm6 Pm 0.2500 0.5773 0.9000
Pm7 Pm 0.7500 0.7551 0.3357
Pm8 Pm 0.2500 0.2449 0.6643
Pm9 Pm 0.7500 0.0988 0.4339
Pm10 Pm 0.2500 0.9012 0.5661
Pm11 Pm 0.7500 0.8459 0.7872
Pm12 Pm 0.2500 0.1541 0.2128
Ga1 Ga 0.7500 0.0728 0.7002
Ga2 Ga 0.2500 0.9272 0.2998
Sn1 Sn 0.7500 0.3620 0.8470
Sn2 Sn 0.2500 0.6380 0.1530
Sn3 Sn 0.7500 0.6847 0.5359
Sn4 Sn 0.2500 0.3153 0.4641
Sn5 Sn 0.7500 0.1049 0.0360
Sn6 Sn 0.2500 0.8951 0.9640

=====

# PBE Pm5GaSn3, relaxed
# ΔH_f (0 K) (meV/atom): -714
# Raw total energy (eV per cell): -90.44
# D(E_F) (states/eV/cell): 19.31
# Symmetry: P6_3/mcm, No. 193
data_Pm5GaSn3
_chemical_formula_sum 'Pm10 Ga2 Sn6'
_space_group_name_H-M_alt 'P 1'
_space_group_IT_number 1
_space_group_name_Hall 'P 1'
_cell_length_a 6.6630
_cell_length_b 9.4864
_cell_length_c 9.4863
_cell_angle_alpha 120.00
_cell_angle_beta 90.00
_cell_angle_gamma 90.00
loop_
_atom_site_label
_atom_site_type_symbol
_atom_site_fract_x
_atom_site_fract_y
_atom_site_fract_z
Pm1 Pm 0.0000 0.6667 0.3334
Pm2 Pm 0.5000 0.3333 0.6666
Pm3 Pm 0.0000 0.3333 0.6666
Pm4 Pm 0.5000 0.6667 0.3334
Pm5 Pm 0.7500 0.7368 0.7369
Pm6 Pm 0.7500 0.0000 0.2631
Pm7 Pm 0.7500 0.2631 0.0000
Pm8 Pm 0.2500 0.2632 0.2631
Pm9 Pm 0.2500 0.0000 0.7369
Pm10 Pm 0.2500 0.7369 0.0000
Ga1 Ga 0.0000 0.0000 0.0000
Ga2 Ga 0.5000 0.0000 0.0000
Sn1 Sn 0.7500 0.3824 0.3824
Sn2 Sn 0.7500 0.0000 0.6176
Sn3 Sn 0.7500 0.6176 0.0000
Sn4 Sn 0.2500 0.6176 0.6176
Sn5 Sn 0.2500 0.0000 0.3824
Sn6 Sn 0.2500 0.3824 0.0000

=====

> The lowest ΔH_f (0 K) belongs to which entry?

Pm5GaSn3

=====

> Look up the D(E_F) of the second one.

19.31 states/eV/cell

=====

> What is the raw total energy in the second record?

-90.44 eV per cell